Below is Pu3Be2Rh5 after structural relaxation, with properties calculated at the PBE level.

Computed properties:
The value obtained for the electronic total energy is -9.2516 eV per atom. The size of the total moment comes out at 14.44 μB per formula unit. Its formation energy is -0.53 eV/atom.

abc: 9.7424 9.7424 3.4542
angles: 90.00 90.00 90.00
With the nearest neighbours (Å) after each atom.
Space group P4/mbm (No. 127)
Inequivalent atoms, fractional coordinates:
Pu  0.0000  0.0000  0.0000  8 Rh 2.85
Pu  0.1761  0.3239  0.0000  3 Be 2.85-2.92, 10 Rh 2.98-3.13
Be  0.1173  0.6173  0.0000  6 Rh 2.37-2.38
Rh  0.0000  0.5000  0.5000  4 Be 2.37
Rh  0.0710  0.7787  0.5000  2 Be 2.38

Below is La2PdRhPb after structural relaxation, with properties calculated at the PBE level.

Computed properties:
The value obtained for the electronic total energy is -5.3484 eV per atom. The size of the total moment comes out at 0.00 μB per formula unit. Its formation energy is -0.13 eV/atom.

abc: 5.4940 5.4940 4.9677
angles: 90.00 90.00 90.00
With the nearest neighbours (Å) after each atom.
Space group P4/mmm (No. 123)
Inequivalent atoms, fractional coordinates:
La  0.0000  0.5000  0.0000  2 Pd 2.75
Pd  0.0000  0.0000  0.0000  2 Rh 2.48, 4 La 2.75
Rh  0.0000  0.0000  0.5000  2 Pd 2.48
Pb  0.5000  0.5000  0.5000  8 La 3.70, 4 Rh 3.88

Below is SrCd3Ag9 after structural relaxation, with properties calculated at the PBE level.

Computed properties:
The value obtained for the electronic total energy is -2.4008 eV per atom. The size of the total moment comes out at 0.00 μB per formula unit. Its formation energy is -0.09 eV/atom.

abc: 5.6653 13.9062 7.3884
angles: 90.00 112.06 90.00
With the nearest neighbours (Å) after each atom.
Space group C2/m (No. 12)
Inequivalent atoms, fractional coordinates:
Sr  0.0000  0.0000  0.0000  14 Ag 3.45-3.69, 6 Cd 3.72-3.75
Cd  0.0000  0.5000  0.5000  10 Ag 2.82-3.02
Cd  0.2500  0.2500  0.0000  2 Cd 2.83, 8 Ag 2.84-3.02
Ag  0.0000  0.0000  0.5000  2 Cd 2.83, 8 Ag 2.84-2.96
Ag  0.1088  0.3909  0.2197  3 Cd 2.82-2.85, 6 Ag 2.84-3.14
Ag  0.1681  0.1757  0.3565  6 Ag 2.85-3.16, 3 Cd 2.99-3.02

Below is CaScAg2 after structural relaxation, with properties calculated at the PBE level.

Computed properties:
The value obtained for the electronic total energy is -3.7929 eV per atom. The size of the total moment comes out at 0.00 μB per formula unit. Its formation energy is -0.28 eV/atom.

abc: 3.5637 3.5270 7.2428
angles: 90.00 90.07 90.00
With the nearest neighbours (Å) after each atom.
Space group P2/m (No. 10)
Inequivalent atoms, fractional coordinates:
Ca  0.0000  0.0000  0.0000  8 Ag 3.25, 4 Ca 3.53-3.56, 2 Sc 3.62
Sc  0.0000  0.0000  0.5000  8 Ag 2.95
Ag  0.5001  0.5000  0.2862  4 Sc 2.95, 1 Ag 3.10, 4 Ca 3.25

Below is LaGaPd3 after structural relaxation, with properties calculated at the PBE level.

Computed properties:
The value obtained for the electronic total energy is -5.3895 eV per atom. The size of the total moment comes out at 0.00 μB per formula unit. Its formation energy is -0.68 eV/atom. The excess energy over the best structure of this formula in the dataset comes out at 0.29 eV/f.u.

abc: 6.2703 6.2703 11.9883
angles: 90.00 90.00 120.00
With the nearest neighbours (Å) after each atom.
Space group P6_3/mmc (No. 194)
Inequivalent atoms, fractional coordinates:
La  0.0000  0.0000  0.0000  12 Pd 3.14-3.36
La  0.3333  0.6667  0.2500  12 Pd 3.15-3.50
Ga  0.3333  0.6667  0.6400  6 Pd 2.47-2.48, 1 Ga 2.64
Pd  0.0000  0.5000  0.0000  2 Ga 2.47
Pd  0.1404  0.2807  0.7500  2 Ga 2.48, 2 Pd 2.64

Below is KCo2Tc after structural relaxation, with properties calculated at the PBE level.

Computed properties:
The value obtained for the electronic total energy is -4.8370 eV per atom. The size of the total moment comes out at 5.47 μB per formula unit. Its formation energy is 1.58 eV/atom. The excess energy over the best structure of this formula in the dataset comes out at 3.58 eV/f.u.

abc: 3.8625 3.8625 8.8573
angles: 90.00 90.00 90.00
With the nearest neighbours (Å) after each atom.
Space group I-4m2 (No. 119)
Inequivalent atoms, fractional coordinates:
K  0.0000  0.0000  0.0000  8 Co 2.73-2.94, 4 Tc 2.94
Co  0.0000  0.0000  0.5000  4 K 2.73, 4 Co 2.94, 4 Tc 2.94
Co  0.0000  0.5000  0.2500  4 Tc 2.73, 4 Co 2.94, 4 K 2.94
Tc  0.0000  0.5000  0.7500  8 Co 2.73-2.94, 4 K 2.94

Below is AcLaOsAu after structural relaxation, with properties calculated at the PBE level.

Computed properties:
The value obtained for the electronic total energy is -6.1455 eV per atom. The size of the total moment comes out at 0.00 μB per formula unit. Its formation energy is -0.26 eV/atom.

abc: 7.4479 7.4479 7.4479
angles: 90.00 90.00 90.00
With the nearest neighbours (Å) after each atom.
Space group F-43m (No. 216)
Inequivalent atoms, fractional coordinates:
Ac  0.0000  0.0000  0.0000  4 Os 3.23, 4 Au 3.23
La  0.0000  0.0000  0.5000  4 Au 3.23, 4 Os 3.23
Os  0.2500  0.2500  0.2500  4 La 3.23, 4 Ac 3.23
Au  0.2500  0.2500  0.7500  4 Ac 3.23, 4 La 3.23